i:
Here is Pm2Sm after structural relaxation from Alexandria. Energies are from PBE-GGA.

Computed properties:
- N(E_F): 7.7 states/eV/cell
- Space-group type: I4_1/amd
- Magnetic moment: 0.000 μB/atom

a b c (Å): 3.5338 3.5338 16.8639
angles (deg): 96.01 96.01 90.00
With the nearest neighbours (Å) after each atom.
Fractional coordinates of all 6 atoms:
Pm 0.5783 0.5783 0.1566  6 Pm 3.53-3.58, 4 Sm 3.61
Pm 0.6717 0.1717 0.3434  6 Pm 3.53-3.58, 4 Sm 3.61
Pm 0.4217 0.4217 0.8434  6 Pm 3.53-3.58, 4 Sm 3.61
Pm 0.8283 0.3283 0.6566  6 Pm 3.53-3.58, 4 Sm 3.61
Sm 0.0000 0.0000 0.0000  4 Sm 3.53, 8 Pm 3.61
Sm 0.2500 0.7500 0.5000  4 Sm 3.53, 8 Pm 3.61


ii:
Here is Pm2Sm after structural relaxation from Alexandria. Energies are from PBE-GGA.

Computed properties:
- N(E_F): 4.2 states/eV/cell
- Space-group type: I4/mmm
- Magnetic moment: 0.000 μB/atom

a b c (Å): 3.6431 3.6431 8.1516
angles (deg): 102.91 102.91 90.00
With the nearest neighbours (Å) after each atom.
Fractional coordinates of all 3 atoms:
Sm 0.0000 0.0000 0.0000  8 Pm 3.64, 4 Sm 3.64
Pm 0.6664 0.6664 0.3327  4 Sm 3.64, 8 Pm 3.64-3.65
Pm 0.3336 0.3336 0.6673  4 Sm 3.64, 8 Pm 3.64-3.65


iii:
Here is Pm2Sm after structural relaxation from Alexandria. Energies are from PBE-GGA.

Computed properties:
- N(E_F): 10.6 states/eV/cell
- Space-group type: Fd-3m
- Magnetic moment: 0.000 μB/atom

a b c (Å): 6.6945 6.6945 6.6945
angles (deg): 60.00 60.00 60.00
With the nearest neighbours (Å) after each atom.
Fractional coordinates of all 6 atoms:
Sm 0.0000 0.0000 0.0000  12 Pm 3.92, 4 Sm 4.10
Sm 0.2500 0.2500 0.2500  12 Pm 3.92, 4 Sm 4.10
Pm 0.1250 0.6250 0.6250  6 Pm 3.35
Pm 0.6250 0.1250 0.6250  6 Pm 3.35
Pm 0.6250 0.6250 0.6250  6 Pm 3.35
Pm 0.6250 0.6250 0.1250  6 Pm 3.35


Which of them is the most stable? Correct choice: ii.


i:
Here is Pm6Sm after structural relaxation from Alexandria. Energies are from PBE-GGA.

Computed properties:
- N(E_F): 5.7 states/eV/cell
- Space-group type: Im-3m
- Magnetic moment: 0.000 μB/atom

a b c (Å): 7.0454 7.0454 7.0454
angles (deg): 109.47 109.47 109.47
With the nearest neighbours (Å) after each atom.
Fractional coordinates of all 7 atoms:
Pm 0.2500 0.7500 0.5000  4 Pm 2.88
Pm 0.5000 0.7500 0.2500  4 Pm 2.88
Pm 0.2500 0.5000 0.7500  4 Pm 2.88
Pm 0.7500 0.2500 0.5000  4 Pm 2.88
Pm 0.5000 0.2500 0.7500  4 Pm 2.88
Pm 0.7500 0.5000 0.2500  4 Pm 2.88
Sm 0.0000 0.0000 0.0000  24 Pm 4.55


ii:
Here is Pm6Sm after structural relaxation from Alexandria. Energies are from PBE-GGA.

Computed properties:
- N(E_F): 18.3 states/eV/cell
- Space-group type: P4/nbm
- Magnetic moment: 0.000 μB/atom

a b c (Å): 6.6264 6.6264 11.2702
angles (deg): 90.00 90.00 90.00
With the nearest neighbours (Å) after each atom.
Fractional coordinates of all 14 atoms:
Pm 0.5000 0.5000 0.1382  1 Pm 3.11
Pm 0.0000 0.0000 0.1382  1 Pm 3.11
Pm 0.0000 0.0000 0.8618  1 Pm 3.11
Pm 0.5000 0.5000 0.8618  1 Pm 3.11
Pm 0.8322 0.6678 0.3611  8 Pm 3.15-3.52
Pm 0.3322 0.8322 0.3611  8 Pm 3.15-3.52
Pm 0.6678 0.1678 0.3611  8 Pm 3.15-3.52
Pm 0.1678 0.3322 0.3611  8 Pm 3.15-3.52
Pm 0.6678 0.8322 0.6389  8 Pm 3.15-3.52
Pm 0.1678 0.6678 0.6389  8 Pm 3.15-3.52
Pm 0.8322 0.3322 0.6389  8 Pm 3.15-3.52
Pm 0.3322 0.1678 0.6389  8 Pm 3.15-3.52
Sm 0.5000 0.0000 0.0000  8 Pm 3.66
Sm 0.0000 0.5000 0.0000  8 Pm 3.66


Which of them is the most stable? Correct choice: ii.


i:
Here is Pm5Sm6 after structural relaxation from Alexandria. Energies are from PBE-GGA.

Computed properties:
- N(E_F): 16.3 states/eV/cell
- Space-group type: Immm
- Magnetic moment: 0.000 μB/atom

a b c (Å): 5.6834 10.0507 9.5014
angles (deg): 121.93 107.39 55.59
With the nearest neighbours (Å) after each atom.
Fractional coordinates of all 11 atoms:
Pm 0.5000 0.5000 0.0000  4 Sm 3.29
Pm 0.0000 0.6614 0.3229  8 Sm 3.57-3.77, 4 Pm 3.61-3.85
Pm 0.0000 0.3386 0.6771  8 Sm 3.57-3.77, 4 Pm 3.61-3.85
Pm 0.5000 0.7997 0.5994  8 Sm 3.47-3.65, 2 Pm 3.61
Pm 0.5000 0.2003 0.4006  8 Sm 3.47-3.65, 2 Pm 3.61
Sm 0.7061 0.7939 0.0000  5 Sm 3.42-3.59, 6 Pm 3.57-3.74
Sm 0.2939 0.2061 0.0000  5 Sm 3.42-3.59, 6 Pm 3.57-3.74
Sm 0.7945 0.0689 0.7272  5 Pm 3.29-3.68, 3 Sm 3.41-3.59
Sm 0.2055 0.6582 0.7272  5 Pm 3.29-3.68, 3 Sm 3.41-3.59
Sm 0.2055 0.9311 0.2728  5 Pm 3.29-3.68, 3 Sm 3.41-3.59
Sm 0.7945 0.3418 0.2728  5 Pm 3.29-3.68, 3 Sm 3.41-3.59


ii:
Here is Pm5Sm6 after structural relaxation from Alexandria. Energies are from PBE-GGA.

Computed properties:
- N(E_F): 13.2 states/eV/cell
- Space-group type: C2/m
- Magnetic moment: 0.000 μB/atom

a b c (Å): 9.3285 8.1319 6.4594
angles (deg): 79.58 71.62 55.00
With the nearest neighbours (Å) after each atom.
Fractional coordinates of all 11 atoms:
Pm 0.5000 0.0000 0.5000  6 Pm 3.46-3.66, 6 Sm 3.56-3.63
Pm 0.3713 0.2573 0.0000  5 Pm 3.43-3.67, 6 Sm 3.50-3.60
Pm 0.6287 0.7427 0.0000  5 Pm 3.43-3.67, 6 Sm 3.50-3.60
Pm 0.2400 0.5201 0.5000  6 Sm 3.41-3.60, 3 Pm 3.46-3.67
Pm 0.7600 0.4799 0.5000  6 Sm 3.41-3.60, 3 Pm 3.46-3.67
Sm 0.8307 0.0000 0.6825  3 Sm 3.29-3.58, 5 Pm 3.56-3.63
Sm 0.1693 0.0000 0.3175  3 Sm 3.29-3.58, 5 Pm 3.56-3.63
Sm 0.3103 0.7357 0.8311  3 Sm 3.35-3.58, 5 Pm 3.41-3.60
Sm 0.9540 0.7357 0.1689  3 Sm 3.35-3.58, 5 Pm 3.41-3.60
Sm 0.6897 0.2643 0.1689  3 Sm 3.35-3.58, 5 Pm 3.41-3.60
Sm 0.0460 0.2643 0.8311  3 Sm 3.35-3.58, 5 Pm 3.41-3.60


Which of them is the most stable? Correct choice: i.


i:
Here is Pm8Sm3 after structural relaxation from Alexandria. Energies are from PBE-GGA.

Computed properties:
- N(E_F): 13.2 states/eV/cell
- Space-group type: R-3
- Magnetic moment: 0.000 μB/atom

a b c (Å): 7.6556 7.6554 7.6556
angles (deg): 105.59 105.59 105.59
With the nearest neighbours (Å) after each atom.
Fractional coordinates of all 11 atoms:
Pm 0.6842 0.1759 0.0686  3 Pm 3.02-3.18, 2 Sm 3.26-3.31
Pm 0.0686 0.6842 0.1759  3 Pm 3.02-3.18, 2 Sm 3.26-3.31
Pm 0.1759 0.0686 0.6842  3 Pm 3.02-3.18, 2 Sm 3.26-3.31
Pm 0.7354 0.7354 0.7354  3 Sm 3.57, 3 Pm 3.83
Pm 0.2646 0.2646 0.2646  3 Sm 3.57, 3 Pm 3.83
Pm 0.8241 0.9314 0.3158  3 Pm 3.02-3.18, 2 Sm 3.26-3.31
Pm 0.9314 0.3158 0.8241  3 Pm 3.02-3.18, 2 Sm 3.26-3.31
Pm 0.3158 0.8241 0.9314  3 Pm 3.02-3.18, 2 Sm 3.26-3.31
Sm 0.0000 0.5000 0.5000  6 Pm 3.26-3.57
Sm 0.5000 0.0000 0.5000  6 Pm 3.26-3.57
Sm 0.5000 0.5000 0.0000  6 Pm 3.26-3.57


ii:
Here is Pm8Sm3 after structural relaxation from Alexandria. Energies are from PBE-GGA.

Computed properties:
- N(E_F): 13.5 states/eV/cell
- Space-group type: R-3
- Magnetic moment: 0.000 μB/atom

a b c (Å): 7.2741 7.2741 7.2741
angles (deg): 85.26 85.26 85.26
With the nearest neighbours (Å) after each atom.
Fractional coordinates of all 11 atoms:
Pm 0.8872 0.3061 0.1476  2 Sm 3.22-3.27
Pm 0.3061 0.1476 0.8872  2 Sm 3.22-3.27
Pm 0.1476 0.8872 0.3061  2 Sm 3.22-3.27
Pm 0.3797 0.3797 0.3797  3 Sm 2.91
Pm 0.6203 0.6203 0.6203  3 Sm 2.91
Pm 0.8524 0.1128 0.6939  2 Sm 3.22-3.27
Pm 0.6939 0.8524 0.1128  2 Sm 3.22-3.27
Pm 0.1128 0.6939 0.8524  2 Sm 3.22-3.27
Sm 0.5000 0.0000 0.5000  4 Pm 2.91-3.22
Sm 0.0000 0.5000 0.5000  4 Pm 2.91-3.22
Sm 0.5000 0.5000 0.0000  4 Pm 2.91-3.22


Which of them is the most stable? Correct choice: i.